1.
Computed, not measured: crystalline Hg3Pb5 at its relaxed geometry at the PBE level of DFT.

Structure (POSCAR):
```
Hg3Pb5
1.0
3.566 0.000 0.000
0.000 3.566 0.000
0.000 0.000 18.213
Hg Pb
3 5
direct
0.500 0.500 0.121
0.500 0.500 0.879
0.000 0.000 0.500
0.000 0.000 0.244
0.500 0.500 0.620
0.500 0.500 0.380
0.000 0.000 0.756
0.000 0.000 0.000
```

Computed properties:
The density of states at the Fermi level is 2.83 states/eV per cell. Its formation energy is 0.02 eV per atom. As for the energy relative to the lowest polymorph listed for this composition: 0.000 eV per atom. Its space group is No. 123.

***

2.
Computed, not measured: crystalline Mg2TlPb9 at its relaxed geometry at the PBE level of DFT.

Structure (POSCAR):
```
Mg2TlPb9
1.0
-2.793 -0.350 4.066
3.761 -2.135 2.399
4.713 13.221 4.376
Mg Tl Pb
2 1 9
direct
0.000 0.000 0.337
0.000 0.000 0.663
0.000 0.000 0.000
0.500 0.500 0.000
0.500 0.500 0.339
0.500 0.500 0.661
0.500 0.000 0.175
0.500 0.000 0.500
0.500 0.000 0.825
0.000 0.500 0.175
0.000 0.500 0.500
0.000 0.500 0.825
```

Computed properties:
The density of states at the Fermi level is 5.41 states/eV per cell. Its formation energy is 0.00 eV per atom. As for the energy relative to the lowest polymorph listed for this composition: 0.000 eV per atom. Its space group is No. 123.

***

3.
Computed, not measured: crystalline Li12HgPd2 at its relaxed geometry at the PBE level of DFT.

Structure (POSCAR):
```
Li12HgPd2
1.0
5.216 0.000 0.000
0.000 5.216 0.000
0.000 0.000 20.267
Li Hg Pd
24 2 4
direct
0.500 0.500 0.773
0.000 0.000 0.773
0.750 0.750 0.895
0.250 0.750 0.895
0.000 0.000 0.344
0.250 0.750 0.105
0.810 0.310 0.564
0.500 0.500 0.344
0.250 0.250 0.895
0.750 0.750 0.105
0.310 0.190 0.564
0.690 0.190 0.436
0.000 0.000 0.656
0.190 0.310 0.436
0.250 0.250 0.105
0.810 0.690 0.436
0.690 0.810 0.564
0.000 0.000 0.227
0.190 0.690 0.564
0.500 0.500 0.656
0.750 0.250 0.895
0.500 0.500 0.227
0.310 0.810 0.436
0.750 0.250 0.105
0.500 0.000 0.000
0.000 0.500 0.000
0.500 0.000 0.326
0.000 0.500 0.326
0.000 0.500 0.674
0.500 0.000 0.674
```

Computed properties:
The density of states at the Fermi level is 10.80 states/eV per cell. Its formation energy is -0.02 eV per atom. Its space group is No. 125.

***

4.
Computed, not measured: crystalline Pr2GaNi16 at its relaxed geometry at the PBE level of DFT.

Structure (POSCAR):
```
Pr2GaNi16
1.0
6.294 0.029 0.742
0.663 6.259 0.742
0.032 0.029 6.337
Pr Ga Ni
2 1 16
direct
0.654 0.654 0.654
0.341 0.341 0.341
0.908 0.908 0.908
0.708 0.000 0.293
0.000 0.293 0.708
0.293 0.708 0.000
0.000 0.708 0.293
0.708 0.293 0.000
0.293 0.000 0.708
0.342 0.847 0.342
0.847 0.342 0.342
0.342 0.342 0.847
0.657 0.152 0.657
0.152 0.657 0.657
0.657 0.657 0.152
0.999 0.501 0.999
0.501 0.999 0.999
0.999 0.999 0.501
0.100 0.100 0.100
```

Computed properties:
The density of states at the Fermi level is 24.69 states/eV per cell. Its formation energy is -0.20 eV per atom. Its space group is No. 160.

***

5.
Computed, not measured: crystalline LaPr3Ho6 at its relaxed geometry at the PBE level of DFT.

Structure (POSCAR):
```
LaPr3Ho6
1.0
-6.127 -6.634 0.111
0.489 -0.604 -9.081
5.760 -5.240 4.736
La Pr Ho
2 6 12
direct
0.080 0.274 0.726
0.580 0.726 0.274
0.492 0.817 0.691
0.992 0.691 0.817
0.313 0.449 0.551
0.813 0.551 0.449
0.992 0.183 0.309
0.492 0.309 0.183
0.165 0.822 0.528
0.665 0.528 0.822
0.326 0.677 0.975
0.826 0.975 0.677
0.180 0.051 0.949
0.446 0.217 0.783
0.946 0.783 0.217
0.680 0.949 0.051
0.326 0.025 0.323
0.826 0.323 0.025
0.165 0.472 0.178
0.665 0.178 0.472
```

Computed properties:
The density of states at the Fermi level is 24.60 states/eV per cell. Its formation energy is 0.13 eV per atom. As for the energy relative to the lowest polymorph listed for this composition: 0.000 eV per atom. Its space group is No. 36.

***

6.
Computed, not measured: crystalline TiPd2F at its relaxed geometry at the PBE level of DFT.

Structure (POSCAR):
```
TiPd2F
1.0
0.000 3.069 3.069
3.069 0.000 3.069
3.069 3.069 0.000
F Pd Ti
1 2 1
direct
0.000 0.000 0.000
0.250 0.250 0.250
0.750 0.750 0.750
0.500 0.500 0.500
```

Computed properties:
The density of states at the Fermi level is 4.92 states/eV per cell. As for the energy relative to the lowest polymorph listed for this composition: 0.058 eV per atom. The calculation puts the raw formation energy at -0.5148 eV/atom. Its space group is No. 225.

***

7.
Computed, not measured: crystalline KAl2Co at its relaxed geometry at the PBE level of DFT.

Structure (POSCAR):
```
KAl2Co
1.0
2.822 0.000 0.000
0.000 5.315 0.000
0.000 0.000 5.199
K Co Al
1 1 2
direct
0.000 0.500 0.500
0.500 0.000 0.500
0.000 0.000 0.000
0.500 0.500 0.000
```

Computed properties:
The density of states at the Fermi level is 3.16 states/eV per cell. Its formation energy is 0.81 eV per atom. As for the energy relative to the lowest polymorph listed for this composition: 0.785 eV per atom. Its space group is No. 47.

***

8.
Computed, not measured: crystalline RbNa3Pa2Te6 at its relaxed geometry at the PBE level of DFT.

Structure (POSCAR):
```
RbNa3Pa2Te6
1.0
4.503 0.000 0.000
0.000 9.667 0.544
-2.251 -2.597 9.587
Rb Na Pa Te
1 3 2 6
direct
0.500 0.000 0.000
0.500 0.500 0.000
0.845 0.170 0.689
0.155 0.830 0.311
0.834 0.662 0.668
0.166 0.338 0.332
0.319 0.876 0.637
0.672 0.568 0.345
0.681 0.124 0.363
0.014 0.283 0.028
0.986 0.717 0.972
0.328 0.432 0.655
```

Computed properties:
The density of states at the Fermi level is 10.88 states/eV per cell. The calculation puts the raw formation energy at -0.9085 eV/atom. Its space group is No. 12.

***

9.
Computed, not measured: crystalline LaBi2H at its relaxed geometry at the PBE level of DFT.

Structure (POSCAR):
```
LaBi2H
1.0
0.000 3.843 3.843
3.843 0.000 3.843
3.843 3.843 0.000
H Bi La
1 2 1
direct
0.000 0.000 0.000
0.250 0.250 0.250
0.750 0.750 0.750
0.500 0.500 0.500
```

Computed properties:
The density of states at the Fermi level is 3.25 states/eV per cell. As for the energy relative to the lowest polymorph listed for this composition: 0.397 eV per atom. Its space group is No. 225.

***

10.
Computed, not measured: crystalline LaPr2YEr2 at its relaxed geometry at the PBE level of DFT.

Structure (POSCAR):
```
LaPr2YEr2
1.0
5.685 0.000 0.000
0.000 6.956 0.000
0.000 0.000 10.301
La Pr Y Er
2 4 2 4
direct
0.500 0.198 0.694
0.500 0.698 0.306
0.500 0.057 0.026
0.000 0.315 0.200
0.500 0.557 0.974
0.000 0.815 0.800
0.000 0.960 0.474
0.000 0.460 0.526
0.000 0.308 0.870
0.500 0.208 0.372
0.000 0.808 0.130
0.500 0.708 0.628
```

Computed properties:
The density of states at the Fermi level is 17.41 states/eV per cell. Its formation energy is 0.07 eV per atom. Its space group is No. 26.

***

11.
Computed, not measured: crystalline ScGa2Ni3 at its relaxed geometry at the PBE level of DFT.

Structure (POSCAR):
```
ScGa2Ni3
1.0
4.102 0.000 0.000
-2.051 3.552 0.000
0.000 0.000 11.366
Sc Ga Ni
2 4 6
direct
0.000 0.000 0.250
0.000 0.000 0.750
0.667 0.333 0.412
0.333 0.667 0.588
0.333 0.667 0.912
0.667 0.333 0.088
0.000 0.000 0.500
0.000 0.000 0.000
0.667 0.333 0.631
0.333 0.667 0.131
0.667 0.333 0.869
0.333 0.667 0.369
```

Computed properties:
The density of states at the Fermi level is 4.36 states/eV per cell. Its formation energy is -0.55 eV per atom. Its space group is No. 194.

***

12.
Computed, not measured: crystalline Nb2Co2Ru at its relaxed geometry at the PBE level of DFT.

Structure (POSCAR):
```
Nb2Co2Ru
1.0
-1.120 1.937 6.320
-6.609 -0.227 -1.102
-0.049 -3.038 0.922
Ru Nb Co
2 4 4
direct
0.000 0.000 0.000
0.500 0.500 0.000
0.179 0.679 0.500
0.679 0.821 0.500
0.821 0.321 0.500
0.321 0.179 0.500
0.377 0.877 0.000
0.877 0.623 0.000
0.623 0.123 0.000
0.123 0.377 0.000
```

Computed properties:
The density of states at the Fermi level is 11.02 states/eV per cell. Its formation energy is -0.13 eV per atom. Its space group is No. 127.

***

no.,M_tot (μB/atom)
1,0.00
2,0.00
3,0.00
4,0.25
5,0.00
6,0.00
7,0.32
8,0.17
9,0.17
10,0.00
11,0.00
12,0.00